1.
Entry from Alexandria via LeMat-Bulk: an optimized crystal structure of CoTeAu2 (GGA-PBE).

Output
The value obtained for the calculated total energy is -3.834 eV per atom. For the density of states at the Fermi level, the calculation gives 11.30 states/eV/cell. The calculation puts the magnetization at 2.78 μB per cell. The density is 12.25 Mg/m³. The calculation puts the uncorrected formation energy at 0.366 eV per atom.

a b c (Å): 7.723 7.723 6.065
angles (deg): 50.45 50.45 90.00
Each line ends with the local moment (μB).
Element x y z (fractional)
1 Au 0.594 0.125 0.250  0.00
2 Au 0.875 0.844 0.750  0.00
3 Au 0.375 0.406 0.750  -0.01
4 Au 0.156 0.625 0.250  0.00
5 Co 0.500 0.500 0.000  1.44
6 Co 0.250 0.750 0.500  1.43
7 Te 0.000 0.000 0.000  0.00
8 Te 0.750 0.250 0.500  0.00

---

2.
Entry from Alexandria via LeMat-Bulk: an optimized crystal structure of BaTa3Pd4S12 (GGA-PBE).

Output
The value obtained for the calculated total energy is -5.940 eV per atom. For the density of states at the Fermi level, the calculation gives 13.63 states/eV/cell. The calculation puts the magnetization at 0.00 μB per cell. The density is 5.12 Mg/m³. The calculation puts the uncorrected formation energy at -0.551 eV per atom.

a b c (Å): 8.185 8.185 8.185
angles (deg): 104.61 104.61 104.61
Element x y z (fractional)
1 S 0.965 0.628 0.725
2 S 0.500 0.105 0.895
3 S 0.500 0.322 0.678
4 S 0.322 0.678 0.500
5 S 0.372 0.035 0.275
6 S 0.678 0.500 0.322
7 S 0.725 0.965 0.628
8 S 0.628 0.725 0.965
9 S 0.275 0.372 0.035
10 S 0.105 0.895 0.500
11 S 0.035 0.275 0.372
12 S 0.895 0.500 0.105
13 Pd 0.500 0.927 0.073
14 Pd 0.500 0.500 0.500
15 Pd 0.927 0.073 0.500
16 Pd 0.073 0.500 0.927
17 Ta 0.000 0.556 0.444
18 Ta 0.556 0.444 0.000
19 Ta 0.444 0.000 0.556
20 Ba 0.000 0.000 0.000

---

3.
Entry from Alexandria via LeMat-Bulk: an optimized crystal structure of SmAlZn2Pd (GGA-PBE).

Output
The value obtained for the calculated total energy is -3.751 eV per atom. For the density of states at the Fermi level, the calculation gives 2.43 states/eV/cell. The calculation puts the magnetization at 0.00 μB per cell. The calculation puts the formation energy from the elements at -0.51 eV per atom. The density is 7.27 Mg/m³.

a b c (Å): 3.911 4.384 6.253
angles (deg): 110.52 108.22 90.00
Element x y z (fractional)
1 Al 0.826 0.826 0.652
2 Sm 0.444 0.444 0.888
3 Zn 0.702 0.202 0.403
4 Zn 0.054 0.054 0.108
5 Pd 0.187 0.687 0.373

---

4.
Entry from Alexandria via LeMat-Bulk: an optimized crystal structure of CsFeCo2 (GGA-PBE).

Output
The value obtained for the calculated total energy is -4.284 eV per atom. For the density of states at the Fermi level, the calculation gives 4.46 states/eV/cell. The calculation puts the magnetization at 4.98 μB per cell. The calculation puts the formation energy from the elements at 1.60 eV per atom. The density is 7.59 Mg/m³.

a b c (Å): 4.561 4.561 4.561
angles (deg): 60.00 60.00 60.00
Each line ends with the local moment (μB).
Element x y z (fractional)
1 Cs 0.500 0.500 0.500  -0.07
2 Co 0.250 0.250 0.250  1.21
3 Co 0.750 0.750 0.750  1.21
4 Fe 0.000 0.000 0.000  2.88

---

5.
Entry from Alexandria via LeMat-Bulk: an optimized crystal structure of PrDyMg (GGA-PBE).

Output
The value obtained for the calculated total energy is -3.630 eV per atom. For the density of states at the Fermi level, the calculation gives 7.20 states/eV/cell. The calculation puts the magnetization at 0.00 μB per cell. The calculation puts the formation energy from the elements at 0.03 eV per atom. The density is 5.92 Mg/m³.

a b c (Å): 5.521 3.463 11.606
angles (deg): 72.76 61.58 90.00
Element x y z (fractional)
1 Dy 0.209 0.375 0.932
2 Dy 0.245 0.909 0.396
3 Pr 0.555 0.219 0.587
4 Pr 0.900 0.066 0.741
5 Mg 0.558 0.721 0.083
6 Mg 0.895 0.563 0.246

---

6.
Entry from Alexandria via LeMat-Bulk: an optimized crystal structure of Pm2Ag3SnSe6 (GGA-PBE).

Output
The value obtained for the calculated total energy is -4.432 eV per atom. For the density of states at the Fermi level, the calculation gives 2.62 states/eV/cell. The calculation puts the magnetization at 0.00 μB per cell. The density is 6.63 Mg/m³. The calculation puts the uncorrected formation energy at -0.852 eV per atom.

a b c (Å): 4.164 7.917 9.517
angles (deg): 99.14 102.64 90.00
Element x y z (fractional)
1 Se 0.660 0.057 0.319
2 Se 0.995 0.738 0.989
3 Se 0.005 0.262 0.011
4 Se 0.332 0.417 0.663
5 Se 0.340 0.943 0.681
6 Se 0.668 0.583 0.337
7 Ag 0.500 0.500 0.000
8 Ag 0.191 0.820 0.382
9 Ag 0.809 0.180 0.618
10 Pm 0.170 0.321 0.339
11 Pm 0.830 0.679 0.661
12 Sn 0.500 0.000 0.000

---

7.
Entry from Alexandria via LeMat-Bulk: an optimized crystal structure of Ta4MnN (GGA-PBE).

Output
The value obtained for the calculated total energy is -10.661 eV per atom. For the density of states at the Fermi level, the calculation gives 8.39 states/eV/cell. The calculation puts the magnetization at 0.00 μB per cell. The density is 12.49 Mg/m³. The calculation puts the uncorrected formation energy at 0.157 eV per atom.

a b c (Å): 6.511 6.511 6.511
angles (deg): 106.61 106.61 115.36
Element x y z (fractional)
1 Mn 0.750 0.250 0.500
2 Mn 0.000 0.000 0.000
3 N 0.500 0.500 0.000
4 N 0.250 0.750 0.500
5 Ta 0.680 0.879 0.199
6 Ta 0.629 0.930 0.699
7 Ta 0.070 0.371 0.301
8 Ta 0.121 0.320 0.801
9 Ta 0.230 0.930 0.301
10 Ta 0.520 0.320 0.199
11 Ta 0.680 0.480 0.801
12 Ta 0.070 0.770 0.699

---

8.
Entry from Alexandria via LeMat-Bulk: an optimized crystal structure of NbGeMo (GGA-PBE).

Output
The value obtained for the calculated total energy is -8.654 eV per atom. For the density of states at the Fermi level, the calculation gives 2.62 states/eV/cell. The calculation puts the magnetization at 0.00 μB per cell. The calculation puts the formation energy from the elements at -0.15 eV per atom. The density is 8.83 Mg/m³.

a b c (Å): 3.365 3.365 4.951
angles (deg): 109.87 109.87 90.00
Element x y z (fractional)
1 Nb 0.950 0.950 0.899
2 Ge 0.621 0.621 0.242
3 Mo 0.279 0.279 0.559

---

9.
Entry from Alexandria via LeMat-Bulk: an optimized crystal structure of Rb2AlRuBr6 (GGA-PBE).

Output
The value obtained for the calculated total energy is -3.374 eV per atom. For the density of states at the Fermi level, the calculation gives 6.99 states/eV/cell. The calculation puts the magnetization at 0.83 μB per cell. The density is 4.38 Mg/m³. The calculation puts the uncorrected formation energy at -0.875 eV per atom.

a b c (Å): 7.463 7.463 7.482
angles (deg): 60.08 60.08 90.00
Each line ends with the local moment (μB).
Element x y z (fractional)
1 Br 0.753 0.753 0.000  0.02
2 Br 0.247 0.247 0.000  0.02
3 Br 0.754 0.754 0.491  0.01
4 Br 0.246 0.246 0.509  0.01
5 Br 0.247 0.753 0.000  0.02
6 Br 0.753 0.247 0.000  0.02
7 Rb 0.250 0.750 0.500  0.00
8 Rb 0.750 0.250 0.500  0.00
9 Ru 0.000 0.000 0.000  0.59
10 Al 0.500 0.500 0.000  0.03

---

10.
Entry from Alexandria via LeMat-Bulk: an optimized crystal structure of PuUPaPb (GGA-PBE).

Output
The value obtained for the calculated total energy is -9.367 eV per atom. For the density of states at the Fermi level, the calculation gives 14.49 states/eV/cell. The calculation puts the magnetization at 4.23 μB per cell. The calculation puts the formation energy from the elements at 0.34 eV per atom. The density is 15.61 Mg/m³.

a b c (Å): 5.173 5.173 5.173
angles (deg): 60.00 60.00 60.00
Each line ends with the local moment (μB).
Element x y z (fractional)
1 Pa 0.000 0.000 0.000  -0.44
2 Pb 0.250 0.250 0.250  0.01
3 U 0.750 0.750 0.750  -0.73
4 Pu 0.500 0.500 0.500  5.18

---

11.
Entry from Alexandria via LeMat-Bulk: an optimized crystal structure of SbTeOs2 (GGA-PBE).

Output
The value obtained for the calculated total energy is -6.700 eV per atom. For the density of states at the Fermi level, the calculation gives 3.22 states/eV/cell. The calculation puts the magnetization at 0.00 μB per cell. The density is 13.35 Mg/m³. The calculation puts the uncorrected formation energy at 0.731 eV per atom.

a b c (Å): 3.646 3.129 6.864
angles (deg): 89.99 90.00 90.00
Element x y z (fractional)
1 Sb 0.500 0.250 0.250
2 Os 0.000 0.750 0.446
3 Os 0.000 0.750 0.054
4 Te 0.500 0.750 0.750

---

12.
Entry from Alexandria via LeMat-Bulk: an optimized crystal structure of Zn2Cu5Pt12 (GGA-PBE).

Output
The value obtained for the calculated total energy is -5.007 eV per atom. For the density of states at the Fermi level, the calculation gives 18.01 states/eV/cell. The calculation puts the magnetization at 0.00 μB per cell. The calculation puts the formation energy from the elements at 0.02 eV per atom. The density is 15.79 Mg/m³.

a b c (Å): 5.440 8.083 7.185
angles (deg): 80.91 90.00 109.66
Element x y z (fractional)
1 Pt 0.506 0.529 0.800
2 Pt 0.494 0.471 0.200
3 Pt 0.437 0.874 0.674
4 Pt 0.978 0.471 0.200
5 Pt 0.850 0.207 0.672
6 Pt 0.022 0.529 0.800
7 Pt 0.643 0.793 0.328
8 Pt 0.910 0.821 0.808
9 Pt 0.563 0.126 0.326
10 Pt 0.150 0.793 0.328
11 Pt 0.357 0.207 0.672
12 Pt 0.090 0.179 0.192
13 Cu 0.639 0.278 0.980
14 Cu 0.361 0.722 0.020
15 Cu 0.247 0.495 0.499
16 Cu 0.000 0.000 0.500
17 Cu 0.753 0.505 0.501
18 Zn 0.254 0.000 0.000
19 Zn 0.746 0.000 0.000